## Tm2MnAl3Cu12 (PBE)

Data for an optimized crystal structure of Tm2MnAl3Cu12.

POSCAR file:
```
Tm2MnAl3Cu12
1.0
2.937 1.696 9.655
-2.937 1.696 9.655
0.000 -3.391 9.655
Tm Mn Al Cu
2 1 3 12
direct
0.144 0.144 0.144 Tm
0.856 0.856 0.856 Tm
0.500 0.500 0.500 Mn
0.000 0.500 0.500 Al
0.500 0.000 0.500 Al
0.500 0.500 0.000 Al
0.084 0.084 0.679 Cu
0.084 0.679 0.084 Cu
0.097 0.610 0.610 Cu
0.321 0.916 0.916 Cu
0.390 0.390 0.903 Cu
0.390 0.903 0.390 Cu
0.610 0.097 0.610 Cu
0.610 0.610 0.097 Cu
0.679 0.084 0.084 Cu
0.903 0.390 0.390 Cu
0.916 0.321 0.916 Cu
0.916 0.916 0.321 Cu
```

VASP energy (eV/atom): -4.238
ρ (kg/m³): 7117
Energy relative to the elements (eV per atom): 0.12
Total magnetic moment (μB per formula unit): 3.754